YAsS3: single point on PBEsol structure, SCAN.

Structure (POSCAR):
```
YAsS3
1.0
-4.6186 -0.7242 -0.1682
0.7366 -4.3141 -1.6523
0.1007 -1.6577 4.3733
Y As S
1 1 3
Cartesian
-1.8906 -3.3480 1.2764 Y
0.0000 0.0000 0.0000 As
0.3683 -2.1570 -0.8261 S
0.0503 -0.8289 2.1866 S
-2.3093 -0.3621 -0.0841 S
```

Output
- Crystal system: cubic
- Uncorrected formation energy: -3.566 eV per formula unit
- SG: Pm-3m
- Total DFT energy (no corrections): -80.48 eV/cell